i:
# GGA-PBE BeCdBr, optimized geometry
# ρ   4.11 g/cm³
# D(E_F)   2.71 states/eV per cell
# Crystal system   cubic
# V   27.1 A^3/atom
# Spin magnetization   0.00 Bohr magnetons per cell
data_BeCdBr
_space_group_name_H-M_alt 'P 1'
_space_group_IT_number 1
_cell_length_a 4.862
_cell_length_b 4.862
_cell_length_c 4.862
_cell_angle_alpha 60.00
_cell_angle_beta 60.00
_cell_angle_gamma 60.00
loop_
_space_group_symop_operation_xyz
'x,y,z'
loop_
_atom_site_label
_atom_site_type_symbol
_atom_site_fract_x
_atom_site_fract_y
_atom_site_fract_z
_atom_site_occupancy
Be1 Be 0.000 0.000 0.000 1
Cd1 Cd 0.750 0.750 0.750 1
Br1 Br 0.500 0.500 0.500 1


ii:
# GGA-PBE BeCdBr, optimized geometry
# ρ   4.43 g/cm³
# D(E_F)   0.72 states/eV per cell
# Crystal system   orthorhombic
# V   25.2 A^3/atom
# Spin magnetization   0.00 Bohr magnetons per cell
data_BeCdBr
_space_group_name_H-M_alt 'P 1'
_space_group_IT_number 1
_cell_length_a 7.955
_cell_length_b 7.502
_cell_length_c 3.531
_cell_angle_alpha 84.08
_cell_angle_beta 69.72
_cell_angle_gamma 26.20
loop_
_space_group_symop_operation_xyz
'x,y,z'
loop_
_atom_site_label
_atom_site_type_symbol
_atom_site_fract_x
_atom_site_fract_y
_atom_site_fract_z
_atom_site_occupancy
Be1 Be 0.000 0.000 0.000 1
Cd1 Cd 0.638 0.638 0.362 1
Br1 Br 0.399 0.399 0.601 1


Which structure is most stable? ii, by 604 meV/atom over the runner-up.


i:
# GGA-PBE BeCdBr3, optimized geometry
# ρ   3.69 g/cm³
# D(E_F)   1.52 states/eV per cell
# Crystal system   cubic
# V   32.5 A^3/atom
# Spin magnetization   1.02 Bohr magnetons per cell
data_BeCdBr3
_space_group_name_H-M_alt 'P 1'
_space_group_IT_number 1
_cell_length_a 5.459
_cell_length_b 5.459
_cell_length_c 5.459
_cell_angle_alpha 90.00
_cell_angle_beta 90.00
_cell_angle_gamma 90.00
loop_
_space_group_symop_operation_xyz
'x,y,z'
loop_
_atom_site_label
_atom_site_type_symbol
_atom_site_fract_x
_atom_site_fract_y
_atom_site_fract_z
_atom_site_occupancy
Be1 Be 0.000 0.000 0.000 1
Cd1 Cd 0.500 0.500 0.500 1
Br1 Br 0.000 0.500 0.500 1
Br2 Br 0.500 0.000 0.500 1
Br3 Br 0.500 0.500 0.000 1


ii:
# GGA-PBE BeCdBr3, optimized geometry
# ρ   5.10 g/cm³
# D(E_F)   2.88 states/eV per cell
# Crystal system   cubic
# V   23.5 A^3/atom
# Spin magnetization   0.00 Bohr magnetons per cell
data_BeCdBr3
_space_group_name_H-M_alt 'P 1'
_space_group_IT_number 1
_cell_length_a 4.900
_cell_length_b 4.900
_cell_length_c 4.900
_cell_angle_alpha 90.00
_cell_angle_beta 90.00
_cell_angle_gamma 90.00
loop_
_space_group_symop_operation_xyz
'x,y,z'
loop_
_atom_site_label
_atom_site_type_symbol
_atom_site_fract_x
_atom_site_fract_y
_atom_site_fract_z
_atom_site_occupancy
Be1 Be 0.000 0.000 0.000 1
Cd1 Cd 0.500 0.500 0.500 1
Br1 Br 0.000 0.000 0.500 1
Br2 Br 0.000 0.500 0.000 1
Br3 Br 0.500 0.000 0.000 1


Which structure is most stable? ii, by 522 meV/atom over the runner-up.


i:
# GGA-PBE BeCdBr4, optimized geometry
# ρ   2.85 g/cm³
# D(E_F)   0.00 states/eV per cell
# Crystal system   tetragonal
# V   42.8 A^3/atom
# Spin magnetization   0.00 Bohr magnetons per cell
data_BeCdBr4
_space_group_name_H-M_alt 'P 1'
_space_group_IT_number 1
_cell_length_a 7.345
_cell_length_b 7.345
_cell_length_c 9.526
_cell_angle_alpha 90.00
_cell_angle_beta 90.00
_cell_angle_gamma 90.00
loop_
_space_group_symop_operation_xyz
'x,y,z'
loop_
_atom_site_label
_atom_site_type_symbol
_atom_site_fract_x
_atom_site_fract_y
_atom_site_fract_z
_atom_site_occupancy
Be1 Be 0.000 0.500 0.000 1
Be2 Be 0.500 0.000 0.500 1
Cd1 Cd 0.000 0.000 0.000 1
Cd2 Cd 0.000 0.000 0.500 1
Br1 Br 0.229 0.281 0.000 1
Br2 Br 0.229 0.719 0.000 1
Br3 Br 0.281 0.229 0.500 1
Br4 Br 0.281 0.771 0.500 1
Br5 Br 0.719 0.229 0.500 1
Br6 Br 0.719 0.771 0.500 1
Br7 Br 0.771 0.281 0.000 1
Br8 Br 0.771 0.719 0.000 1


ii:
# GGA-PBE BeCdBr4, optimized geometry
# ρ   4.01 g/cm³
# D(E_F)   7.82 states/eV per cell
# Crystal system   cubic
# V   30.5 A^3/atom
# Spin magnetization   2.95 Bohr magnetons per cell
data_BeCdBr4
_space_group_name_H-M_alt 'P 1'
_space_group_IT_number 1
_cell_length_a 6.369
_cell_length_b 6.369
_cell_length_c 6.369
_cell_angle_alpha 60.00
_cell_angle_beta 60.00
_cell_angle_gamma 60.00
loop_
_space_group_symop_operation_xyz
'x,y,z'
loop_
_atom_site_label
_atom_site_type_symbol
_atom_site_fract_x
_atom_site_fract_y
_atom_site_fract_z
_atom_site_occupancy
Be1 Be 0.000 0.000 0.000 1
Cd1 Cd 0.250 0.250 0.250 1
Br1 Br 0.125 0.625 0.625 1
Br2 Br 0.625 0.125 0.625 1
Br3 Br 0.625 0.625 0.125 1
Br4 Br 0.625 0.625 0.625 1


Which structure is most stable? i, by 1526 meV/atom over the runner-up.


i:
# GGA-PBE BeCd3Br, optimized geometry
# ρ   3.50 g/cm³
# D(E_F)   4.42 states/eV per cell
# Crystal system   cubic
# V   40.5 A^3/atom
# Spin magnetization   0.00 Bohr magnetons per cell
data_BeCd3Br
_space_group_name_H-M_alt 'P 1'
_space_group_IT_number 1
_cell_length_a 5.872
_cell_length_b 5.872
_cell_length_c 5.872
_cell_angle_alpha 90.00
_cell_angle_beta 90.00
_cell_angle_gamma 90.00
loop_
_space_group_symop_operation_xyz
'x,y,z'
loop_
_atom_site_label
_atom_site_type_symbol
_atom_site_fract_x
_atom_site_fract_y
_atom_site_fract_z
_atom_site_occupancy
Be1 Be 0.000 0.000 0.000 1
Cd1 Cd 0.000 0.500 0.500 1
Cd2 Cd 0.500 0.000 0.500 1
Cd3 Cd 0.500 0.500 0.000 1
Br1 Br 0.500 0.500 0.500 1


ii:
# GGA-PBE BeCd3Br, optimized geometry
# ρ   5.83 g/cm³
# D(E_F)   2.54 states/eV per cell
# Crystal system   cubic
# V   24.3 A^3/atom
# Spin magnetization   0.00 Bohr magnetons per cell
data_BeCd3Br
_space_group_name_H-M_alt 'P 1'
_space_group_IT_number 1
_cell_length_a 4.951
_cell_length_b 4.951
_cell_length_c 4.951
_cell_angle_alpha 90.00
_cell_angle_beta 90.00
_cell_angle_gamma 90.00
loop_
_space_group_symop_operation_xyz
'x,y,z'
loop_
_atom_site_label
_atom_site_type_symbol
_atom_site_fract_x
_atom_site_fract_y
_atom_site_fract_z
_atom_site_occupancy
Be1 Be 0.000 0.000 0.000 1
Cd1 Cd 0.000 0.000 0.500 1
Cd2 Cd 0.000 0.500 0.000 1
Cd3 Cd 0.500 0.000 0.000 1
Br1 Br 0.500 0.500 0.500 1


Which structure is most stable? ii, by 919 meV/atom over the runner-up.


i:
# GGA-PBE BeCdSeBr2, optimized geometry
# ρ   5.17 g/cm³
# D(E_F)   2.88 states/eV per cell
# Crystal system   tetragonal
# V   23.1 A^3/atom
# Spin magnetization   0.00 Bohr magnetons per cell
data_BeCdSeBr2
_space_group_name_H-M_alt 'P 1'
_space_group_IT_number 1
_cell_length_a 4.592
_cell_length_b 4.592
_cell_length_c 5.485
_cell_angle_alpha 90.00
_cell_angle_beta 90.00
_cell_angle_gamma 90.00
loop_
_space_group_symop_operation_xyz
'x,y,z'
loop_
_atom_site_label
_atom_site_type_symbol
_atom_site_fract_x
_atom_site_fract_y
_atom_site_fract_z
_atom_site_occupancy
Be1 Be 0.000 0.000 0.000 1
Cd1 Cd 0.500 0.500 0.500 1
Se1 Se 0.000 0.000 0.500 1
Br1 Br 0.000 0.500 0.000 1
Br2 Br 0.500 0.000 0.000 1


ii:
# GGA-PBE BeCdSeBr2, optimized geometry
# ρ   3.85 g/cm³
# D(E_F)   3.75 states/eV per cell
# Crystal system   tetragonal
# V   31.1 A^3/atom
# Spin magnetization   0.00 Bohr magnetons per cell
data_BeCdSeBr2
_space_group_name_H-M_alt 'P 1'
_space_group_IT_number 1
_cell_length_a 5.327
_cell_length_b 5.327
_cell_length_c 5.475
_cell_angle_alpha 90.00
_cell_angle_beta 90.00
_cell_angle_gamma 90.00
loop_
_space_group_symop_operation_xyz
'x,y,z'
loop_
_atom_site_label
_atom_site_type_symbol
_atom_site_fract_x
_atom_site_fract_y
_atom_site_fract_z
_atom_site_occupancy
Be1 Be 0.000 0.000 0.000 1
Cd1 Cd 0.500 0.500 0.500 1
Se1 Se 0.500 0.500 0.000 1
Br1 Br 0.000 0.500 0.500 1
Br2 Br 0.500 0.000 0.500 1


Which structure is most stable? i, by 685 meV/atom over the runner-up.


i:
# GGA-PBE BeCdSe2Br, optimized geometry
# ρ   4.77 g/cm³
# D(E_F)   3.62 states/eV per cell
# Crystal system   tetragonal
# V   25.0 A^3/atom
# Spin magnetization   0.00 Bohr magnetons per cell
data_BeCdSe2Br
_space_group_name_H-M_alt 'P 1'
_space_group_IT_number 1
_cell_length_a 4.347
_cell_length_b 4.347
_cell_length_c 6.620
_cell_angle_alpha 90.00
_cell_angle_beta 90.00
_cell_angle_gamma 90.00
loop_
_space_group_symop_operation_xyz
'x,y,z'
loop_
_atom_site_label
_atom_site_type_symbol
_atom_site_fract_x
_atom_site_fract_y
_atom_site_fract_z
_atom_site_occupancy
Be1 Be 0.000 0.000 0.000 1
Cd1 Cd 0.500 0.500 0.500 1
Se1 Se 0.000 0.500 0.000 1
Se2 Se 0.500 0.000 0.000 1
Br1 Br 0.000 0.000 0.500 1


ii:
# GGA-PBE BeCdSe2Br, optimized geometry
# ρ   4.05 g/cm³
# D(E_F)   5.80 states/eV per cell
# Crystal system   tetragonal
# V   29.5 A^3/atom
# Spin magnetization   0.00 Bohr magnetons per cell
data_BeCdSe2Br
_space_group_name_H-M_alt 'P 1'
_space_group_IT_number 1
_cell_length_a 5.256
_cell_length_b 5.256
_cell_length_c 5.339
_cell_angle_alpha 90.00
_cell_angle_beta 90.00
_cell_angle_gamma 90.00
loop_
_space_group_symop_operation_xyz
'x,y,z'
loop_
_atom_site_label
_atom_site_type_symbol
_atom_site_fract_x
_atom_site_fract_y
_atom_site_fract_z
_atom_site_occupancy
Be1 Be 0.000 0.000 0.000 1
Cd1 Cd 0.500 0.500 0.500 1
Se1 Se 0.000 0.500 0.500 1
Se2 Se 0.500 0.000 0.500 1
Br1 Br 0.500 0.500 0.000 1


Which structure is most stable? i, by 815 meV/atom over the runner-up.